The following is a DFT calculation (PBE+U) of a geometry-optimized CaTiCrP3O12 structure.

Properties
Uncorrected energy: -7.70 eV per atom
Spin magnetization: 2.98 μB per formula unit
Density of states at the Fermi level: 0.000 states/eV/cell

Unit cell a=8.8443 b=8.8443 c=8.8443 alpha=58.35 beta=58.35 gamma=58.35
With the nearest neighbours (Å) after each atom.
Positions (direct):
Ca  0.0000  0.0000  0.0000  6 O 2.38-2.41
Ca  0.5000  0.5000  0.5000  6 O 2.38-2.41
Ti  0.1485  0.1485  0.1485  6 O 1.89-2.06
Ti  0.6485  0.6485  0.6485  6 O 1.89-2.06
Cr  0.3561  0.3561  0.3561  6 O 1.96-2.03
Cr  0.8561  0.8561  0.8561  6 O 1.96-2.03
P  0.0419  0.7521  0.4631  4 O 1.52-1.56
P  0.2521  0.5419  0.9631  4 O 1.52-1.56
P  0.4631  0.0419  0.7521  4 O 1.52-1.56
P  0.5419  0.9631  0.2521  4 O 1.52-1.56
P  0.7521  0.4631  0.0419  4 O 1.52-1.56
P  0.9631  0.2521  0.5419  4 O 1.52-1.56
O  0.0007  0.2063  0.3742  1 P 1.56
O  0.0124  0.7942  0.6241  1 P 1.52
O  0.0561  0.9246  0.2747  1 P 1.56
O  0.0848  0.7298  0.9359  1 P 1.54
O  0.1241  0.2942  0.5124  1 P 1.52
O  0.2063  0.3742  0.0007  1 P 1.56
O  0.2298  0.5848  0.4359  1 P 1.54
O  0.2747  0.0561  0.9246  1 P 1.56
O  0.2942  0.5124  0.1241  1 P 1.52
O  0.3742  0.0007  0.2063  1 P 1.56
O  0.4246  0.5561  0.7747  1 P 1.56
O  0.4359  0.2298  0.5848  1 P 1.54
O  0.5007  0.8742  0.7063  1 P 1.56
O  0.5124  0.1241  0.2942  1 P 1.52
O  0.5561  0.7747  0.4246  1 P 1.56
O  0.5848  0.4359  0.2298  1 P 1.54
O  0.6241  0.0124  0.7942  1 P 1.52
O  0.7063  0.5007  0.8742  1 P 1.56
O  0.7298  0.9359  0.0848  1 P 1.54
O  0.7747  0.4246  0.5561  1 P 1.56
O  0.7942  0.6241  0.0124  1 P 1.52
O  0.8742  0.7063  0.5007  1 P 1.56
O  0.9246  0.2747  0.0561  1 P 1.56
O  0.9359  0.0848  0.7298  1 P 1.54